[1]
A geometry-optimized CsCuNi2 structure. Source: Alexandria via LeMat-Bulk, functional PBE.

a b c (Å): 8.948 8.948 8.948
angles (deg): 148.42 148.42 45.26
Sites, in units of the cell vectors:
Cs 0.375 0.625 0.750
Cs 0.625 0.375 0.250
Cu 0.125 0.875 0.250
Cu 0.875 0.125 0.750
Ni 0.000 0.000 0.000
Ni 0.000 0.000 0.500
Ni 0.000 0.500 0.000
Ni 0.500 0.000 0.500

Values from the calculation:
Energy relative to the elements, eV/atom: 0.731

[2]
A geometry-optimized CsCuNi3 structure. Source: Alexandria via LeMat-Bulk, functional PBE.

a b c (Å): 4.778 4.778 4.778
angles (deg): 90.00 90.00 90.00
Sites, in units of the cell vectors:
Cs 0.000 0.000 0.000
Cu 0.500 0.500 0.500
Ni 0.000 0.000 0.500
Ni 0.000 0.500 0.000
Ni 0.500 0.000 0.000

Values from the calculation:
Energy relative to the elements, eV/atom: 2.220

| no. | total magnetic moment (μB/f.u.) |
| --- | --- |
| 1 | 1.280 |
| 2 | 0.000 |